Be3Ag4 | PBE | optimized geometry

## Properties
Energy relative to the lowest polymorph listed for this composition = 0 meV/atom
DFT formation energy = 0.13 eV/atom
DFT total energy = -3.10 eV per atom

a = 11.456 Å, b = 11.456 Å, c = 11.456 Å
α = 165.44°, β = 165.44°, γ = 20.65°
Positions (direct):
Ag 0.435 0.435 0.000
Be 0.000 0.000 0.000
Ag 0.161 0.161 0.000
Be 0.273 0.273 0.000
Be 0.727 0.727 0.000
Ag 0.565 0.565 0.000
Ag 0.839 0.839 0.000



BeAg2 | PBE | optimized geometry

## Properties
DFT formation energy = 0.13 eV/atom
DFT total energy = -3.01 eV per atom

a = 6.951 Å, b = 6.951 Å, c = 3.120 Å
α = 90.00°, β = 90.00°, γ = 120.00°
Positions (direct):
Ag 0.000 0.264 0.000
Ag 0.397 0.397 0.500
Ag 0.000 0.603 0.500
Be 0.667 0.333 0.000
Be 0.333 0.667 0.000
Ag 0.603 0.000 0.500
Be 0.000 0.000 0.500
Ag 0.264 0.000 0.000
Ag 0.736 0.736 0.000



BeAg2 | PBE | optimized geometry

## Properties
DFT formation energy = 0.24 eV/atom
DFT total energy = -2.91 eV per atom

a = 2.948 Å, b = 4.150 Å, c = 7.347 Å
α = 90.00°, β = 90.00°, γ = 90.00°
Positions (direct):
Be 0.000 0.000 0.000
Be 0.500 0.500 0.500
Ag 0.261 0.500 0.165
Ag 0.239 0.000 0.665
Ag 0.761 0.000 0.335
Ag 0.739 0.500 0.835



BeAg2 | PBE | optimized geometry

## Properties
DFT formation energy = 0.15 eV/atom
DFT total energy = -2.99 eV per atom

a = 6.864 Å, b = 6.864 Å, c = 4.475 Å
α = 90.00°, β = 90.00°, γ = 155.37°
Positions (direct):
Be 0.069 0.931 0.750
Ag 0.282 0.718 0.250
Ag 0.718 0.282 0.750
Be 0.931 0.069 0.250
Ag 0.579 0.421 0.250
Ag 0.421 0.579 0.750



BeAg5 | PBE | optimized geometry

## Properties
Energy relative to the lowest polymorph listed for this composition = 92 meV/atom
DFT formation energy = 0.16 eV/atom
DFT total energy = -2.83 eV per atom

a = 7.473 Å, b = 7.473 Å, c = 4.707 Å
α = 90.00°, β = 90.00°, γ = 157.76°
Positions (direct):
Ag 0.662 0.338 0.000
Ag 0.333 0.667 0.000
Be 0.112 0.888 0.500
Ag 0.001 0.999 0.000
Ag 0.458 0.542 0.500
Ag 0.767 0.233 0.500



BeAg2 | PBE | optimized geometry

## Properties
DFT formation energy = 0.26 eV/atom
DFT total energy = -2.89 eV per atom

a = 12.416 Å, b = 12.416 Å, c = 12.416 Å
α = 162.08°, β = 162.08°, γ = 25.44°
Positions (direct):
Be 0.162 0.662 0.500
Ag 0.664 0.164 0.500
Be 0.088 0.088 0.000
Ag 0.500 0.000 0.500
Ag 0.250 0.250 0.000
Be 0.338 0.838 0.500
Ag 0.750 0.750 0.000
Ag 0.414 0.414 0.000
Be 0.912 0.912 0.000
Ag 0.586 0.586 0.000
Ag 0.836 0.336 0.500
Ag 0.000 0.500 0.500



BeAg2 | PBE | optimized geometry

## Properties
DFT formation energy = 0.20 eV/atom
DFT total energy = -2.94 eV per atom

a = 6.481 Å, b = 6.481 Å, c = 6.481 Å
α = 25.67°, β = 25.67°, γ = 25.67°
Positions (direct):
Ag 0.766 0.766 0.766
Be 0.000 0.000 0.000
Ag 0.234 0.234 0.234



Be6Ag | PBE | optimized geometry

## Properties
Energy relative to the lowest polymorph listed for this composition = 0 meV/atom
DFT formation energy = 0.13 eV/atom
DFT total energy = -3.47 eV per atom

a = 4.216 Å, b = 6.984 Å, c = 9.181 Å
α = 90.00°, β = 90.00°, γ = 90.00°
Positions (direct):
Be 0.250 0.654 0.356
Be 0.000 0.442 0.192
Be 0.500 0.058 0.692
Be 0.250 0.309 0.764
Be 0.750 0.191 0.264
Be 0.750 0.962 0.102
Be 0.750 0.591 0.010
Be 0.250 0.538 0.602
Be 0.750 0.462 0.398
Be 0.750 0.691 0.236
Be 0.250 0.909 0.510
Be 0.250 0.409 0.990
Be 0.750 0.346 0.644
Ag 0.250 0.763 0.074
Be 0.750 0.846 0.856
Be 0.250 0.809 0.736
Be 0.500 0.942 0.308
Be 0.250 0.038 0.898
Ag 0.250 0.263 0.426
Be 0.750 0.091 0.490
Be 0.000 0.942 0.308
Be 0.500 0.442 0.192
Be 0.000 0.058 0.692
Be 0.250 0.154 0.144
Be 0.000 0.558 0.808
Ag 0.750 0.737 0.574
Be 0.500 0.558 0.808
Ag 0.750 0.237 0.926



Question: What is the DFT total energy in the eighth record?
Answer: -3.47 eV per atom



Question: Look up the DFT total energy of the fourth one.
Answer: -2.99 eV per atom



Copy entry 4 word for word.
BeAg2 | PBE | optimized geometry

## Properties
DFT formation energy = 0.15 eV/atom
DFT total energy = -2.99 eV per atom

a = 6.864 Å, b = 6.864 Å, c = 4.475 Å
α = 90.00°, β = 90.00°, γ = 155.37°
Positions (direct):
Be 0.069 0.931 0.750
Ag 0.282 0.718 0.250
Ag 0.718 0.282 0.750
Be 0.931 0.069 0.250
Ag 0.579 0.421 0.250
Ag 0.421 0.579 0.750